Here is an optimized crystal structure of Ce3NdSn2 from Alexandria. Energies are from GGA-PBE.

Geometry as extended XYZ:
```
12
Lattice="9.277 -2.430 0.000 9.277 2.430 0.000 -3.390 0.000 7.420" Properties=species:S:1:pos:R:3 pbc="T T T"
Ce 0.730 0.000 1.183
Ce 3.537 0.000 4.300
Ce 3.816 0.000 7.030
Ce 11.348 0.000 0.390
Ce 11.628 0.000 3.120
Ce 14.435 0.000 6.238
Nd -0.201 0.000 5.053
Nd 15.366 0.000 2.367
Sn 4.086 0.000 1.139
Sn 6.663 0.000 4.865
Sn 8.502 0.000 2.555
Sn 11.079 0.000 6.282
```

DFT formation energy, kJ/mol of formula units: -249
Fermi-level density of states, states/eV per cell: 22.64
Calculated volume, Å³ per cell: 334.5
Magnetic moment, μB per formula unit: 1.19